{
  "formula": "RbRhSe2",
  "functional": "GGA-PBE",
  "state": "relaxed",
  "cell": [[1.587, -11.722, 0.000], [1.587, 11.722, 0.000], [0.000, 0.000, 5.971]],
  "species": ["Rh", "Rh", "Se", "Se", "Se", "Se", "Rb", "Rb"],
  "frac_coords": [[0.412, 0.588, 0.250], [0.588, 0.412, 0.750], [0.307, 0.693, 0.250], [0.693, 0.307, 0.750], [0.985, 0.015, 0.250], [0.015, 0.985, 0.750], [0.157, 0.843, 0.250], [0.843, 0.157, 0.750]],
  "formation_energy_uncorrected_ev_per_atom": -0.308,
  "sg": "Cmcm, No. 63"
}


{
  "formula": "LuBeCo",
  "functional": "GGA-PBE",
  "state": "relaxed",
  "cell": [[3.755, 0.000, 0.000], [0.000, 3.758, 0.000], [0.000, -1.879, 3.254]],
  "species": ["Be", "Lu", "Co"],
  "frac_coords": [[0.167, 0.667, 0.333], [0.667, 0.333, 0.667], [0.167, 0.000, 0.000]],
  "formation_enthalpy_0k_ev_per_atom": -0.21,
  "sg": "P-6m2, No. 187"
}


{
  "formula": "BaTmRuO6",
  "functional": "GGA-PBE",
  "state": "relaxed",
  "cell": [[5.543, 0.000, 0.000], [2.772, 4.800, 0.000], [0.000, 0.000, 5.672]],
  "species": ["Ba", "Tm", "Ru", "O", "O", "O", "O", "O", "O"],
  "frac_coords": [[0.000, 0.000, 0.000], [0.667, 0.667, 0.500], [0.333, 0.333, 0.500], [0.039, 0.358, 0.305], [0.358, 0.039, 0.695], [0.603, 0.358, 0.695], [0.039, 0.603, 0.695], [0.358, 0.603, 0.305], [0.603, 0.039, 0.305]],
  "formation_energy_uncorrected_ev_per_atom": -1.973,
  "sg": "P312, No. 149"
}


{
  "formula": "PmSc2Fe",
  "functional": "GGA-PBE",
  "state": "relaxed",
  "cell": [[-1.674, 1.460, -2.311], [-0.169, -2.760, -1.621], [-7.288, -1.936, 4.056]],
  "species": ["Sc", "Sc", "Fe", "Pm"],
  "frac_coords": [[0.000, 0.000, 0.828], [0.000, 0.000, 0.172], [0.500, 0.500, 0.000], [0.500, 0.500, 0.500]],
  "de_polymorph_mev_per_atom": 0,
  "formation_enthalpy_0k_ev_per_atom": -0.04,
  "sg": "P4/mmm, No. 123"
}